Density functional theory data (PBE-GGA) for a relaxed AcSmHoIn crystal.

abc: 5.6289 5.6289 5.6289
angles: 60.00 60.00 60.00
Last column: nearest neighbours and their distance in Å.
Element x y z (fractional)
Ac (0.0000, 0.0000, 0.0000)  4 Ho 3.45, 4 Sm 3.45
Sm (0.2500, 0.2500, 0.2500)  4 Ac 3.45, 4 In 3.45
Ho (0.7500, 0.7500, 0.7500)  4 Ac 3.45, 4 In 3.45
In (0.5000, 0.5000, 0.5000)  4 Ho 3.45, 4 Sm 3.45

**Energy of formation from the pure elements**: -0.046 eV per atom
**Density**: 8.65 g/cm³
**V**: 31.5 A^3/atom
**N(E_F)**: 1.92 states/eV/atom
**Total moment**: 0.00 μB per formula unit

Density functional theory data (PBE-GGA) for a relaxed AcTbHoIn crystal.

abc: 5.6031 5.6031 5.6031
angles: 60.00 60.00 60.00
Last column: nearest neighbours and their distance in Å.
Element x y z (fractional)
Ac (0.0000, 0.0000, 0.0000)  4 Ho 3.43, 4 Tb 3.43
Tb (0.2500, 0.2500, 0.2500)  4 In 3.43, 4 Ac 3.43
Ho (0.7500, 0.7500, 0.7500)  4 In 3.43, 4 Ac 3.43
In (0.5000, 0.5000, 0.5000)  4 Tb 3.43, 4 Ho 3.43

**Energy of formation from the pure elements**: -0.030 eV per atom
**Density**: 8.89 g/cm³
**V**: 31.1 A^3/atom
**N(E_F)**: 1.91 states/eV/atom
**Total moment**: 0.62 μB per formula unit

Density functional theory data (PBE-GGA) for a relaxed Ac3Ho2Tl4In2 crystal.

abc: 5.2107 5.2107 15.7813
angles: 90.00 90.00 120.00
Last column: nearest neighbours and their distance in Å.
Element x y z (fractional)
Ac (0.0000, 0.0000, 0.0000)  6 Tl 3.45, 6 In 3.86
Ac (0.0000, 0.0000, 0.2664)  3 Tl 3.43, 3 In 3.50
Ac (0.0000, 0.0000, 0.7336)  3 Tl 3.43, 3 In 3.50
Ho (0.3333, 0.6667, 0.5645)  4 Tl 3.05-3.18
Ho (0.6667, 0.3333, 0.4355)  4 Tl 3.05-3.18
Tl (0.3333, 0.6667, 0.3711)  4 Ho 3.05-3.18
Tl (0.3333, 0.6667, 0.8932)  3 In 3.10, 3 Ac 3.45
Tl (0.6667, 0.3333, 0.1068)  3 In 3.10, 3 Ac 3.45
Tl (0.6667, 0.3333, 0.6289)  4 Ho 3.05-3.18
In (0.3333, 0.6667, 0.1532)  4 Tl 3.10-3.44
In (0.6667, 0.3333, 0.8468)  4 Tl 3.10-3.44

**Energy of formation from the pure elements**: -0.240 eV per atom
**Density**: 9.21 g/cm³
**V**: 33.7 A^3/atom
**N(E_F)**: 0.49 states/eV/atom
**Total moment**: 0.00 μB per formula unit

Density functional theory data (PBE-GGA) for a relaxed AcHoTmIn crystal.

abc: 5.5799 5.5799 5.5799
angles: 60.00 60.00 60.00
Last column: nearest neighbours and their distance in Å.
Element x y z (fractional)
Ac (0.0000, 0.0000, 0.0000)  4 Ho 3.42, 4 Tm 3.42
Ho (0.7500, 0.7500, 0.7500)  4 Ac 3.42, 4 In 3.42
Tm (0.2500, 0.2500, 0.2500)  4 In 3.42, 4 Ac 3.42
In (0.5000, 0.5000, 0.5000)  4 Ho 3.42, 4 Tm 3.42

**Energy of formation from the pure elements**: -0.006 eV per atom
**Density**: 9.13 g/cm³
**V**: 30.7 A^3/atom
**N(E_F)**: 1.74 states/eV/atom
**Total moment**: 1.05 μB per formula unit

Density functional theory data (PBE-GGA) for a relaxed AcYHoIn crystal.

abc: 5.6093 5.6093 5.6093
angles: 60.00 60.00 60.00
Last column: nearest neighbours and their distance in Å.
Element x y z (fractional)
Ac (0.0000, 0.0000, 0.0000)  4 Ho 3.43, 4 Y 3.43
Y (0.2500, 0.2500, 0.2500)  4 Ac 3.43, 4 In 3.43
Ho (0.7500, 0.7500, 0.7500)  4 Ac 3.43, 4 In 3.43
In (0.5000, 0.5000, 0.5000)  4 Ho 3.43, 4 Y 3.43

**Energy of formation from the pure elements**: -0.034 eV per atom
**Density**: 7.93 g/cm³
**V**: 31.2 A^3/atom
**N(E_F)**: 1.75 states/eV/atom
**Total moment**: 1.06 μB per formula unit

Density functional theory data (PBE-GGA) for a relaxed Ac2HoZn3In4 crystal.

abc: 4.6525 4.6525 12.3001
angles: 90.00 90.00 90.00
Last column: nearest neighbours and their distance in Å.
Element x y z (fractional)
Ac (0.0000, 0.5000, 0.2330)  4 Zn 3.53, 8 In 3.57-3.69
Ac (0.5000, 0.0000, 0.7670)  4 Zn 3.53, 8 In 3.57-3.69
Ho (0.0000, 0.0000, 0.5000)  4 In 3.00, 4 Zn 3.29
Zn (0.0000, 0.5000, 0.8703)  5 In 2.66-2.82
Zn (0.5000, 0.0000, 0.1297)  5 In 2.66-2.82
Zn (0.5000, 0.5000, 0.5000)  4 In 3.00, 4 Ho 3.29
In (0.0000, 0.0000, 0.0000)  4 Zn 2.82
In (0.0000, 0.5000, 0.6538)  1 Zn 2.66
In (0.5000, 0.0000, 0.3462)  1 Zn 2.66
In (0.5000, 0.5000, 0.0000)  4 Zn 2.82

**Energy of formation from the pure elements**: -0.341 eV per atom
**Density**: 7.95 g/cm³
**V**: 26.6 A^3/atom
**N(E_F)**: 0.64 states/eV/atom
**Total moment**: 0.00 μB per formula unit

Density functional theory data (PBE-GGA) for a relaxed AcHoZn2In2 crystal.

abc: 4.7358 4.7358 7.8965
angles: 90.00 90.00 120.00
Last column: nearest neighbours and their distance in Å.
Element x y z (fractional)
Ac (0.0000, 0.0000, 0.0000)  6 In 3.52, 6 Zn 3.65
Ho (0.0000, 0.0000, 0.5000)  6 Zn 3.13, 6 In 3.24
Zn (0.3333, 0.6667, 0.6934)  3 In 2.74
Zn (0.6667, 0.3333, 0.3066)  3 In 2.74
In (0.3333, 0.6667, 0.2809)  3 Zn 2.74
In (0.6667, 0.3333, 0.7191)  3 Zn 2.74

**Energy of formation from the pure elements**: -0.436 eV per atom
**Density**: 8.15 g/cm³
**V**: 25.6 A^3/atom
**N(E_F)**: 0.63 states/eV/atom
**Total moment**: 0.00 μB per formula unit

Density functional theory data (PBE-GGA) for a relaxed AcHoZnIn crystal.

abc: 5.4666 5.4666 5.4666
angles: 60.00 60.00 60.00
Last column: nearest neighbours and their distance in Å.
Element x y z (fractional)
Ac (0.0000, 0.0000, 0.0000)  4 In 3.35, 4 Zn 3.35
Ho (0.5000, 0.5000, 0.5000)  4 Zn 3.35, 4 In 3.35
Zn (0.7500, 0.7500, 0.7500)  4 Ac 3.35, 4 Ho 3.35
In (0.2500, 0.2500, 0.2500)  4 Ho 3.35, 4 Ac 3.35

**Energy of formation from the pure elements**: -0.308 eV per atom
**Density**: 8.23 g/cm³
**V**: 28.9 A^3/atom
**N(E_F)**: 1.10 states/eV/atom
**Total moment**: 0.00 μB per formula unit

Density functional theory data (PBE-GGA) for a relaxed AcHo2Ir crystal.

abc: 10.8891 10.8891 10.8891
angles: 20.81 20.81 20.81
Last column: nearest neighbours and their distance in Å.
Element x y z (fractional)
Ac (0.0000, 0.0000, 0.0000)  2 Ho 3.82, 6 Ac 3.93
Ho (0.1194, 0.1194, 0.1194)  3 Ir 2.73
Ho (0.8806, 0.8806, 0.8806)  3 Ir 2.73
Ir (0.5000, 0.5000, 0.5000)  6 Ho 2.73

**Energy of formation from the pure elements**: -0.260 eV per atom
**Density**: 8.72 g/cm³
**V**: 35.7 A^3/atom
**N(E_F)**: 0.68 states/eV/atom
**Total moment**: 0.00 μB per formula unit

Density functional theory data (PBE-GGA) for a relaxed Ac2HoIr9 crystal.

abc: 9.5840 9.5840 9.5840
angles: 32.72 32.72 32.72
Last column: nearest neighbours and their distance in Å.
Element x y z (fractional)
Ac (0.1391, 0.1391, 0.1391)  12 Ir 3.17-3.53, 3 Ac 3.46
Ac (0.8609, 0.8609, 0.8609)  12 Ir 3.17-3.53, 3 Ac 3.46
Ho (0.0000, 0.0000, 0.0000)  18 Ir 3.12-3.44
Ir (0.0826, 0.5759, 0.5759)  7 Ir 2.61-2.86
Ir (0.3317, 0.3317, 0.3317)  6 Ir 2.61-2.66
Ir (0.4241, 0.4241, 0.9174)  7 Ir 2.61-2.86
Ir (0.4241, 0.9174, 0.4241)  7 Ir 2.61-2.86
Ir (0.5000, 0.5000, 0.5000)  6 Ir 2.86
Ir (0.5759, 0.0826, 0.5759)  7 Ir 2.61-2.86
Ir (0.5759, 0.5759, 0.0826)  7 Ir 2.61-2.86
Ir (0.6683, 0.6683, 0.6683)  6 Ir 2.61-2.66
Ir (0.9174, 0.4241, 0.4241)  7 Ir 2.61-2.86

**Energy of formation from the pure elements**: -0.433 eV per atom
**Density**: 17.04 g/cm³
**V**: 19.1 A^3/atom
**N(E_F)**: 0.83 states/eV/atom
**Total moment**: 0.00 μB per formula unit

Density functional theory data (PBE-GGA) for a relaxed Ac3HoIr2 crystal.

abc: 8.9717 8.9717 11.7404
angles: 116.18 116.18 28.95
Last column: nearest neighbours and their distance in Å.
Element x y z (fractional)
Ac (0.0505, 0.0505, 0.2377)  3 Ir 3.04-3.05
Ac (0.2167, 0.2167, 0.6077)  4 Ir 3.00-3.35
Ac (0.3388, 0.3388, 0.9909)  3 Ir 3.04-3.11
Ac (0.6612, 0.6612, 0.0091)  3 Ir 3.04-3.11
Ac (0.7833, 0.7833, 0.3923)  4 Ir 3.00-3.35
Ac (0.9495, 0.9495, 0.7623)  3 Ir 3.04-3.05
Ho (0.4283, 0.4283, 0.3437)  4 Ir 2.85-2.99
Ho (0.5717, 0.5717, 0.6563)  4 Ir 2.85-2.99
Ir (0.1393, 0.1393, 0.8219)  2 Ho 2.85, 4 Ac 3.04-3.11
Ir (0.3863, 0.3863, 0.5642)  2 Ho 2.89-2.99, 5 Ac 3.00-3.21
Ir (0.6137, 0.6137, 0.4358)  2 Ho 2.89-2.99, 5 Ac 3.00-3.21
Ir (0.8607, 0.8607, 0.1781)  2 Ho 2.85, 4 Ac 3.04-3.11

**Energy of formation from the pure elements**: -0.611 eV per atom
**Density**: 10.04 g/cm³
**V**: 33.9 A^3/atom
**N(E_F)**: 0.73 states/eV/atom
**Total moment**: 0.00 μB per formula unit

Density functional theory data (PBE-GGA) for a relaxed AcHoIr4 crystal.

abc: 5.4660 5.4660 5.4660
angles: 60.00 60.00 60.00
Last column: nearest neighbours and their distance in Å.
Element x y z (fractional)
Ac (0.0000, 0.0000, 0.0000)  12 Ir 3.21, 4 Ho 3.35
Ho (0.2500, 0.2500, 0.2500)  12 Ir 3.20, 4 Ac 3.35
Ir (0.1267, 0.6244, 0.6244)  6 Ir 2.72-2.75
Ir (0.6244, 0.1267, 0.6244)  6 Ir 2.72-2.75
Ir (0.6244, 0.6244, 0.1267)  6 Ir 2.72-2.75
Ir (0.6244, 0.6244, 0.6244)  6 Ir 2.72-2.75

**Energy of formation from the pure elements**: -0.640 eV per atom
**Density**: 16.69 g/cm³
**V**: 19.2 A^3/atom
**N(E_F)**: 0.77 states/eV/atom
**Total moment**: 0.00 μB per formula unit

Among the records above, which one has the highest energy of formation from the pure elements?
AcHoTmIn